Entry 1:
Density functional theory data (PBE) for a geometry-optimized TlHgPb structure.

Lattice parameters (Å, degrees): 5.547 5.547 3.364 90.00 90.00 120.00
Atoms (fractional coordinates):
1 Tl 0.000 0.000 0.000
2 Hg 0.667 0.333 0.494
3 Pb 0.333 0.667 0.501

Computed properties:
- Formation energy from the elements: -11 meV/atom
- M_tot: 0.00 μB per atom
- E above lowest polymorph: 0.000 eV/atom

***

Entry 2:
Density functional theory data (PBE) for a geometry-optimized TlHg2Pb structure.

Lattice parameters (Å, degrees): 3.631 4.718 6.672 90.00 90.00 90.00
Atoms (fractional coordinates):
1 Tl 0.000 0.000 0.000
2 Hg 0.000 0.000 0.487
3 Hg 0.500 0.500 0.248
4 Pb 0.500 0.500 0.734

Computed properties:
- Formation energy from the elements: 29 meV/atom
- M_tot: 0.00 μB per atom

***

Entry 3:
Density functional theory data (PBE) for a geometry-optimized Tl6HgPb structure.

Lattice parameters (Å, degrees): 5.703 6.826 6.826 66.40 90.00 90.00
Atoms (fractional coordinates):
1 Tl 0.000 0.000 0.000
2 Tl 0.000 0.473 0.473
3 Tl 0.000 0.505 0.969
4 Tl 0.000 0.969 0.505
5 Tl 0.500 0.294 0.776
6 Tl 0.500 0.776 0.294
7 Hg 0.500 0.795 0.795
8 Pb 0.500 0.279 0.279

Computed properties:
- Formation energy from the elements: 10 meV/atom
- M_tot: 0.00 μB per atom
- E above lowest polymorph: 0.000 eV/atom

***

Entry 4:
Density functional theory data (PBE) for a geometry-optimized Tl4Hg2Pb3 structure.

Lattice parameters (Å, degrees): 5.499 5.499 10.298 90.00 90.00 120.00
Atoms (fractional coordinates):
1 Tl 0.000 0.000 0.177
2 Tl 0.000 0.000 0.823
3 Tl 0.333 0.667 0.612
4 Tl 0.667 0.333 0.388
5 Hg 0.333 0.667 0.282
6 Hg 0.667 0.333 0.718
7 Pb 0.000 0.000 0.500
8 Pb 0.333 0.667 0.950
9 Pb 0.667 0.333 0.050

Computed properties:
- Formation energy from the elements: 6 meV/atom
- M_tot: 0.00 μB per atom